Material: RbS2
Method: DFT, GGA-PBE
State: relaxed

- Space-group type: No. 12
- E_form (uncorrected): -569 meV per atom
- Energy above the most stable polymorph in this dataset: 1.778 kcal/mol of atoms
- DFT total energy: -10.93 eV per formula unit
- Calculated volume: 29.97 Å³/atom
- ρ: 2.76 g/cm3

abc: 6.9268 6.5809 4.1638
angles: 90.00 108.67 90.00
Fractional coordinates of all 6 atoms:
Rb 0.0000 0.0000 0.0000
Rb 0.5000 0.5000 0.0000
S 0.0700 0.5000 0.2678
S 0.4300 0.0000 0.7322
S 0.5700 0.0000 0.2678
S 0.9300 0.5000 0.7322